Rb2SiAg | PBE | optimized geometry

The structure in POSCAR format:
```
Rb2SiAg
1.0
8.550 0.000 0.000
0.000 8.550 0.000
0.000 0.000 8.550
Rb Si Ag
8 4 4
direct
0.250 0.250 0.250
0.250 0.250 0.750
0.250 0.750 0.250
0.250 0.750 0.750
0.750 0.250 0.250
0.750 0.250 0.750
0.750 0.750 0.250
0.750 0.750 0.750
0.000 0.000 0.000
0.000 0.500 0.500
0.500 0.000 0.500
0.500 0.500 0.000
0.000 0.000 0.500
0.000 0.500 0.000
0.500 0.000 0.000
0.500 0.500 0.500
```

Results
Crystal system = cubic
SG = Fm-3m (225)


Sr6NbO8 | PBE | optimized geometry

The structure in POSCAR format:
```
Sr6NbO8
1.0
0.000 5.091 5.091
5.091 0.000 5.091
5.091 5.091 0.000
Sr Nb O
6 1 8
direct
0.000 0.000 0.500
0.000 0.500 0.000
0.000 0.500 0.500
0.500 0.000 0.000
0.500 0.000 0.500
0.500 0.500 0.000
0.000 0.000 0.000
0.209 0.209 0.791
0.209 0.791 0.209
0.209 0.791 0.791
0.250 0.250 0.250
0.750 0.750 0.750
0.791 0.209 0.209
0.791 0.209 0.791
0.791 0.791 0.209
```

Results
Crystal system = cubic
SG = Fm-3m (225)


HfUAs2N | PBE | optimized geometry

The structure in POSCAR format:
```
HfUAs2N
1.0
3.779 0.000 0.000
0.000 3.779 0.000
0.000 0.000 13.065
Hf U As N
2 2 4 2
direct
0.250 0.250 0.092
0.750 0.750 0.908
0.250 0.250 0.593
0.750 0.750 0.407
0.250 0.250 0.302
0.250 0.250 0.879
0.750 0.750 0.121
0.750 0.750 0.698
0.250 0.750 0.500
0.750 0.250 0.500
```

Results
Crystal system = tetragonal
SG = P4/nmm (129)


Number 1: DOS at the Fermi energy 8.685 states/eV per cell, E_tot -2.003 eV/atom. Number 2: DOS at the Fermi energy 5.464 states/eV per cell, E_tot -6.685 eV/atom. Number 3: DOS at the Fermi energy 6.829 states/eV per cell, E_tot -8.810 eV/atom.